The following is a DFT calculation (PBE+U) of a relaxed structure of AcWO5.

The structure in POSCAR format:
```
AcWO5
1.0
4.001 0.000 0.000
0.000 6.946 0.000
0.000 0.000 8.745
Ac W O
2 2 10
direct
0.000 0.000 0.000
0.500 0.500 0.500
0.000 0.000 0.500
0.500 0.500 0.000
0.000 0.000 0.283
0.000 0.000 0.717
0.000 0.280 0.500
0.000 0.500 0.000
0.000 0.720 0.500
0.500 0.000 0.500
0.500 0.220 0.000
0.500 0.500 0.217
0.500 0.500 0.783
0.500 0.780 0.000
```

Calculated values
E: -7.456 eV per atom
crystal system: orthorhombic
total magnetization: 1.02 μB per formula unit
space group: No. 71